The following is a DFT calculation (PBE-GGA) of a geometry-optimized KN2Cl8 structure.

a = 12.977 Å, b = 7.382 Å, c = 7.776 Å
α = 90.00°, β = 99.57°, γ = 90.00°
Space group C2/m (No. 12)
Symmetry-distinct sites (fractional):
1 K 0.000 0.000 0.000 x2
2 N 0.086 0.500 0.342 x4
3 Cl 0.049 0.500 0.729 x4
4 Cl 0.146 0.299 0.273 x8
5 Cl 0.231 0.000 0.153 x4

Output
Formation energy without anion corrections   0.694 eV/f.u.
M_tot   0.025 μB per atom
Volume   33.39 Å³ per atom